Entry from Alexandria via LeMat-Bulk: a relaxed Co3O2F4 crystal (PBE+U).

Summary:
Size of the total moment: 4.00 μB/f.u.
DOS at the Fermi energy: 0.21 states/eV per cell
Total DFT energy (no corrections): -5.09 eV/atom

Cell and atoms, written as POSCAR:
```
Co3O2F4
1.0
3.1139 -3.5039 0.0000
3.1139 3.5039 0.0000
-0.1487 0.0000 8.9340
Co O F
6 4 8
Cartesian
0.0000 0.0000 0.0000
-0.0810 0.0000 5.9138
2.8199 0.0000 7.4584
3.0396 0.0000 4.4670
3.2592 0.0000 1.4755
6.1601 0.0000 3.0202
1.0105 0.0000 7.4250
1.0989 0.0000 4.4270
4.9802 0.0000 4.5070
5.0686 0.0000 1.5090
1.3119 0.0000 1.5017
2.9068 1.3057 6.0682
3.1139 1.2706 0.0000
3.1723 1.3057 2.8658
2.9068 -1.3057 6.0682
3.1139 -1.2706 0.0000
3.1723 -1.3057 2.8658
4.7672 0.0000 7.4323
```